--- A ---
Below is crystalline LiAcAu4 at its relaxed geometry, with properties calculated at the PBE level.

Cell: 5.702 5.702 5.702 Å, 60.00 60.00 60.00°
Atoms (fractional coordinates):
Li: 0.000 0.000 0.000
Ac: 0.250 0.250 0.250
Au: 0.122 0.626 0.626
Au: 0.626 0.122 0.626
Au: 0.626 0.626 0.122
Au: 0.626 0.626 0.626

Computed properties:
The volume comes out at 21.85 A^3/atom. As for the space group: F-43m, No. 216. The crystal system is cubic.

---

--- B ---
Below is crystalline LiAcAu4 at its relaxed geometry, with properties calculated at the PBE level.

Cell: 4.240 4.240 7.807 Å, 90.00 90.00 90.00°
Atoms (fractional coordinates):
Li: 0.000 0.000 0.000
Ac: 0.500 0.500 0.500
Au: 0.000 0.500 0.198
Au: 0.000 0.500 0.802
Au: 0.500 0.000 0.198
Au: 0.500 0.000 0.802

Computed properties:
The volume comes out at 23.39 A^3/atom. As for the space group: P4/mmm, No. 123. The crystal system is tetragonal.

---

Most stable to least stable: A, B

---

--- A ---
Below is crystalline LiAcMgAu at its relaxed geometry, with properties calculated at the PBE level.

Cell: 5.207 5.207 5.207 Å, 60.00 60.00 60.00°
Atoms (fractional coordinates):
Li: 0.000 0.000 0.000
Ac: 0.750 0.750 0.750
Mg: 0.250 0.250 0.250
Au: 0.500 0.500 0.500

Computed properties:
The volume comes out at 24.95 A^3/atom. As for the space group: F-43m, No. 216. The crystal system is cubic.

---

--- B ---
Below is crystalline LiAcMgAu at its relaxed geometry, with properties calculated at the PBE level.

Cell: 4.795 4.795 5.879 Å, 114.18 114.18 60.04°
Atoms (fractional coordinates):
Li: 0.000 0.000 0.000
Ac: 0.796 0.796 0.388
Mg: 0.286 0.286 0.857
Au: 0.592 0.592 0.776

Computed properties:
The volume comes out at 25.80 A^3/atom. As for the space group: Cm, No. 8. The crystal system is monoclinic.

---

Most stable to least stable: B, A

---

--- A ---
Below is crystalline Ac2LuAu at its relaxed geometry, with properties calculated at the PBE level.

Cell: 5.828 5.828 3.859 Å, 90.00 90.00 90.00°
Atoms (fractional coordinates):
Ac: 0.000 0.500 0.000
Ac: 0.500 0.000 0.000
Lu: 0.000 0.000 0.500
Au: 0.500 0.500 0.500

Computed properties:
The volume comes out at 32.77 A^3/atom. As for the space group: P4/mmm, No. 123. The crystal system is tetragonal.

---

--- B ---
Below is crystalline Ac2LuAu at its relaxed geometry, with properties calculated at the PBE level.

Cell: 3.937 3.937 8.716 Å, 90.00 90.00 90.00°
Atoms (fractional coordinates):
Ac: 0.000 0.000 0.219
Ac: 0.000 0.000 0.781
Lu: 0.500 0.500 0.500
Au: 0.500 0.500 0.000

Computed properties:
The volume comes out at 33.77 A^3/atom. As for the space group: P4/mmm, No. 123. The crystal system is tetragonal.

---

Most stable to least stable: B, A

---

--- A ---
Below is crystalline Ac3Mg2Au3 at its relaxed geometry, with properties calculated at the PBE level.

Cell: 9.222 9.222 6.275 Å, 90.00 90.00 120.00°
Atoms (fractional coordinates):
Ac: 0.000 0.275 0.250
Ac: 0.000 0.725 0.750
Ac: 0.275 0.000 0.250
Ac: 0.275 0.275 0.750
Ac: 0.725 0.000 0.750
Ac: 0.725 0.725 0.250
Mg: 0.333 0.667 0.000
Mg: 0.333 0.667 0.500
Mg: 0.667 0.333 0.000
Mg: 0.667 0.333 0.500
Au: 0.000 0.390 0.750
Au: 0.000 0.610 0.250
Au: 0.390 0.000 0.750
Au: 0.390 0.390 0.250
Au: 0.610 0.000 0.250
Au: 0.610 0.610 0.750

Computed properties:
The volume comes out at 28.88 A^3/atom. As for the space group: P6_3/mcm, No. 193. The crystal system is hexagonal.

---

--- B ---
Below is crystalline Ac3Mg2Au3 at its relaxed geometry, with properties calculated at the PBE level.

Cell: 12.561 12.561 12.561 Å, 161.26 158.38 28.76°
Atoms (fractional coordinates):
Ac: 0.000 0.000 0.000
Ac: 0.372 0.872 0.500
Ac: 0.628 0.128 0.500
Mg: 0.251 0.251 0.000
Mg: 0.749 0.749 0.000
Au: 0.175 0.675 0.500
Au: 0.500 0.500 0.000
Au: 0.825 0.325 0.500

Computed properties:
The volume comes out at 29.30 A^3/atom. As for the space group: Immm, No. 71. The crystal system is orthorhombic.

---

Most stable to least stable: A, B

---

--- A ---
Below is crystalline AcMg2Au4 at its relaxed geometry, with properties calculated at the PBE level.

Cell: 10.067 10.067 10.067 Å, 158.57 154.51 33.54°
Atoms (fractional coordinates):
Ac: 0.000 0.000 0.000
Mg: 0.308 0.808 0.500
Mg: 0.692 0.192 0.500
Au: 0.168 0.668 0.500
Au: 0.424 0.424 0.000
Au: 0.576 0.576 0.000
Au: 0.832 0.332 0.500

Computed properties:
The volume comes out at 22.89 A^3/atom. As for the space group: Immm, No. 71. The crystal system is orthorhombic.

---

--- B ---
Below is crystalline AcMg2Au4 at its relaxed geometry, with properties calculated at the PBE level.

Cell: 5.871 5.871 5.871 Å, 103.71 103.71 121.74°
Atoms (fractional coordinates):
Ac: 0.000 0.000 0.000
Mg: 0.250 0.750 0.500
Mg: 0.750 0.250 0.500
Au: 0.303 0.303 0.607
Au: 0.303 0.697 0.000
Au: 0.697 0.303 0.000
Au: 0.697 0.697 0.393

Computed properties:
The volume comes out at 21.47 A^3/atom. As for the space group: I4/mmm, No. 139. The crystal system is tetragonal.

---

Most stable to least stable: B, A

---

--- A ---
Below is crystalline AcMgAu at its relaxed geometry, with properties calculated at the PBE level.

Cell: 5.111 5.111 5.111 Å, 60.00 60.00 60.00°
Atoms (fractional coordinates):
Ac: 0.000 0.000 0.000
Mg: 0.500 0.500 0.500
Au: 0.250 0.250 0.250

Computed properties:
The volume comes out at 31.47 A^3/atom. As for the space group: F-43m, No. 216. The crystal system is cubic.

---

--- B ---
Below is crystalline AcMgAu at its relaxed geometry, with properties calculated at the PBE level.

Cell: 8.003 8.003 4.465 Å, 90.00 90.00 120.00°
Atoms (fractional coordinates):
Ac: 0.000 0.585 0.000
Ac: 0.415 0.415 0.000
Ac: 0.585 0.000 0.000
Mg: 0.000 0.230 0.500
Mg: 0.230 0.000 0.500
Mg: 0.770 0.770 0.500
Au: 0.000 0.000 0.000
Au: 0.333 0.667 0.500
Au: 0.667 0.333 0.500

Computed properties:
The volume comes out at 27.52 A^3/atom. As for the space group: P-62m, No. 189. The crystal system is hexagonal.

---

Most stable to least stable: B, A

---

--- A ---
Below is crystalline AcMgAu at its relaxed geometry, with properties calculated at the PBE level.

Cell: 9.049 7.731 7.706 Å, 71.77 54.24 53.99°
Atoms (fractional coordinates):
Ac: 0.000 0.000 0.000
Ac: 0.000 0.000 0.500
Ac: 0.000 0.500 0.000
Ac: 0.500 0.000 0.000
Mg: 0.248 0.502 0.248
Mg: 0.498 0.752 0.498
Mg: 0.502 0.248 0.502
Mg: 0.752 0.498 0.752
Au: 0.199 0.199 0.551
Au: 0.449 0.449 0.801
Au: 0.551 0.551 0.199
Au: 0.801 0.801 0.449

Computed properties:
The volume comes out at 29.46 A^3/atom. As for the space group: Fddd, No. 70. The crystal system is orthorhombic.

---

--- B ---
Below is crystalline AcMgAu at its relaxed geometry, with properties calculated at the PBE level.

Cell: 7.656 4.764 8.971 Å, 90.00 90.00 90.00°
Atoms (fractional coordinates):
Ac: 0.036 0.250 0.180
Ac: 0.464 0.750 0.680
Ac: 0.536 0.250 0.320
Ac: 0.964 0.750 0.820
Mg: 0.135 0.250 0.558
Mg: 0.365 0.750 0.058
Mg: 0.635 0.250 0.942
Mg: 0.865 0.750 0.442
Au: 0.233 0.750 0.382
Au: 0.267 0.250 0.882
Au: 0.733 0.750 0.118
Au: 0.767 0.250 0.618

Computed properties:
The volume comes out at 27.26 A^3/atom. As for the space group: Pnma, No. 62. The crystal system is orthorhombic.

---

Most stable to least stable: B, A

---

--- A ---
Below is crystalline AcMgAu at its relaxed geometry, with properties calculated at the PBE level.

Cell: 4.867 4.867 4.115 Å, 90.00 90.00 120.00°
Atoms (fractional coordinates):
Ac: 0.000 0.000 0.000
Mg: 0.667 0.333 0.500
Au: 0.333 0.667 0.500

Computed properties:
The volume comes out at 28.14 A^3/atom. As for the space group: P-6m2, No. 187. The crystal system is hexagonal.

---

--- B ---
Below is crystalline AcMgAu at its relaxed geometry, with properties calculated at the PBE level.

Cell: 6.531 6.531 6.531 Å, 147.14 147.14 47.15°
Atoms (fractional coordinates):
Ac: 0.000 0.000 0.000
Mg: 0.286 0.286 0.000
Au: 0.679 0.679 0.000

Computed properties:
The volume comes out at 27.24 A^3/atom. As for the space group: I4mm, No. 107. The crystal system is tetragonal.

---

Most stable to least stable: A, B

---

--- A ---
Below is crystalline Ac2MgAu3 at its relaxed geometry, with properties calculated at the PBE level.

Cell: 9.616 9.217 6.328 Å, 73.81 67.00 39.20°
Atoms (fractional coordinates):
Ac: 0.242 0.758 0.758
Ac: 0.250 0.250 0.250
Ac: 0.750 0.750 0.750
Ac: 0.758 0.242 0.242
Mg: 0.333 0.333 0.667
Mg: 0.667 0.667 0.333
Au: 0.171 0.171 0.829
Au: 0.175 0.652 0.348
Au: 0.348 0.825 0.175
Au: 0.652 0.175 0.825
Au: 0.825 0.348 0.652
Au: 0.829 0.829 0.171

Computed properties:
The volume comes out at 27.16 A^3/atom. As for the space group: Fmmm, No. 69. The crystal system is orthorhombic.

---

--- B ---
Below is crystalline Ac2MgAu3 at its relaxed geometry, with properties calculated at the PBE level.

Cell: 9.476 9.476 9.476 Å, 153.76 153.25 37.82°
Atoms (fractional coordinates):
Ac: 0.000 0.000 0.000
Ac: 0.727 0.227 0.500
Mg: 0.398 0.398 0.000
Au: 0.154 0.654 0.500
Au: 0.312 0.812 0.500
Au: 0.552 0.552 0.000

Computed properties:
The volume comes out at 28.17 A^3/atom. As for the space group: Imm2, No. 44. The crystal system is orthorhombic.

---

Most stable to least stable: A, B

---

--- A ---
Below is crystalline AcMgRhAu at its relaxed geometry, with properties calculated at the PBE level.

Cell: 5.885 5.885 5.885 Å, 45.51 45.51 45.51°
Atoms (fractional coordinates):
Ac: 0.000 0.000 0.000
Mg: 0.490 0.490 0.490
Rh: 0.783 0.783 0.783
Au: 0.206 0.206 0.206

Computed properties:
The volume comes out at 23.63 A^3/atom. As for the space group: R3m, No. 160. The crystal system is trigonal.

---

--- B ---
Below is crystalline AcMgRhAu at its relaxed geometry, with properties calculated at the PBE level.

Cell: 5.080 5.080 5.080 Å, 60.00 60.00 60.00°
Atoms (fractional coordinates):
Ac: 0.000 0.000 0.000
Mg: 0.500 0.500 0.500
Rh: 0.750 0.750 0.750
Au: 0.250 0.250 0.250

Computed properties:
The volume comes out at 23.18 A^3/atom. As for the space group: F-43m, No. 216. The crystal system is cubic.

---

Most stable to least stable: A, B

---

--- A ---
Below is crystalline Ac4AuN at its relaxed geometry, with properties calculated at the PBE level.

Cell: 9.432 9.432 6.913 Å, 108.24 108.24 120.36°
Atoms (fractional coordinates):
Ac: 0.050 0.654 0.858
Ac: 0.191 0.295 0.679
Ac: 0.295 0.191 0.179
Ac: 0.346 0.950 0.642
Ac: 0.654 0.050 0.358
Ac: 0.705 0.809 0.821
Ac: 0.809 0.705 0.321
Ac: 0.950 0.346 0.142
Au: 0.385 0.615 0.250
Au: 0.615 0.385 0.750
N: 0.100 0.900 0.750
N: 0.900 0.100 0.250

Computed properties:
The volume comes out at 34.37 A^3/atom. As for the space group: C2/c, No. 15. The crystal system is monoclinic.

---

--- B ---
Below is crystalline Ac4AuN at its relaxed geometry, with properties calculated at the PBE level.

Cell: 5.944 10.199 7.070 Å, 90.00 92.46 90.00°
Atoms (fractional coordinates):
Ac: 0.229 0.250 0.287
Ac: 0.239 0.750 0.365
Ac: 0.259 0.042 0.793
Ac: 0.259 0.458 0.793
Ac: 0.741 0.542 0.207
Ac: 0.741 0.958 0.207
Ac: 0.761 0.250 0.635
Ac: 0.771 0.750 0.713
Au: 0.291 0.750 0.921
Au: 0.709 0.250 0.079
N: 0.183 0.250 0.629
N: 0.817 0.750 0.371

Computed properties:
The volume comes out at 35.69 A^3/atom. As for the space group: P2_1/m, No. 11. The crystal system is monoclinic.

---

Most stable to least stable: B, A

---

--- A ---
Below is crystalline Ac3Au2N at its relaxed geometry, with properties calculated at the PBE level.

Cell: 7.325 7.325 7.660 Å, 103.45 103.45 64.62°
Atoms (fractional coordinates):
Ac: 0.103 0.897 0.750
Ac: 0.300 0.419 0.022
Ac: 0.419 0.300 0.522
Ac: 0.581 0.700 0.478
Ac: 0.700 0.581 0.978
Ac: 0.897 0.103 0.250
Au: 0.004 0.653 0.351
Au: 0.347 0.996 0.149
Au: 0.653 0.004 0.851
Au: 0.996 0.347 0.649
N: 0.416 0.584 0.750
N: 0.584 0.416 0.250

Computed properties:
The volume comes out at 29.75 A^3/atom. As for the space group: C2/c, No. 15. The crystal system is monoclinic.

---

--- B ---
Below is crystalline Ac3Au2N at its relaxed geometry, with properties calculated at the PBE level.

Cell: 9.160 4.352 18.204 Å, 90.00 90.00 90.00°
Atoms (fractional coordinates):
Ac: 0.001 0.250 0.103
Ac: 0.136 0.750 0.426
Ac: 0.182 0.250 0.737
Ac: 0.318 0.750 0.237
Ac: 0.364 0.250 0.926
Ac: 0.499 0.750 0.603
Ac: 0.501 0.250 0.397
Ac: 0.636 0.750 0.074
Ac: 0.682 0.250 0.763
Ac: 0.818 0.750 0.263
Ac: 0.864 0.250 0.574
Ac: 0.999 0.750 0.897
Au: 0.073 0.250 0.288
Au: 0.238 0.250 0.548
Au: 0.262 0.750 0.048
Au: 0.427 0.750 0.788
Au: 0.573 0.250 0.212
Au: 0.738 0.250 0.952
Au: 0.762 0.750 0.452
Au: 0.927 0.750 0.712
N: 0.126 0.250 0.870
N: 0.374 0.750 0.370
N: 0.626 0.250 0.630
N: 0.874 0.750 0.130

Computed properties:
The volume comes out at 30.24 A^3/atom. As for the space group: Pnma, No. 62. The crystal system is orthorhombic.

---

Most stable to least stable: B, A